# 1
Compound: ZrHgBiIr2
Source: Alexandria via LeMat-Bulk
Functional: PBE
Structure: optimized geometry

Output
As for the space group: P4/mmm (123). The energy relative to the elements comes out at 1.559 eV per atom.

Structure (POSCAR):
```
ZrHgBiIr2
1.0
4.9557 0.0000 0.0000
0.0000 5.2609 0.0000
0.0000 0.0000 4.9557
Ir Hg Zr Bi
2 1 1 1
Cartesian
2.4779 0.0000 0.0000
0.0000 0.0000 2.4779
0.0000 0.0000 0.0000
2.4779 2.6304 2.4779
0.0000 2.6304 0.0000
```


# 2
Compound: Sm3SbSe2
Source: Alexandria via LeMat-Bulk
Functional: PBE
Structure: optimized geometry

Output
The value obtained for the formation energy (no corrections) is -1.60 eV/atom. As for the space group: Cmmm (65).

Structure (POSCAR):
```
Sm3SbSe2
1.0
-0.8583 1.3238 5.8497
-5.9516 0.5489 -0.9974
1.8550 -9.0973 2.3310
Se Sm Sb
4 6 2
Cartesian
-3.4049 0.9364 2.4261
0.0000 0.0000 0.0000
-4.1545 -4.9640 3.6515
-0.8004 -2.2605 3.5318
-2.9758 0.2745 -0.4987
-0.3635 -2.8612 0.5942
-3.7331 -5.6871 0.7393
-3.7778 -1.9989 3.0357
-0.4291 0.6619 2.9249
-1.1771 -5.2256 4.1475
-3.3529 -2.6943 0.1178
-0.7437 -5.8540 1.2157
```


# 3
Compound: Tm3RhAu
Source: Alexandria via LeMat-Bulk
Functional: PBE
Structure: optimized geometry

Output
As for the space group: P2_1/c (14). The energy relative to the elements comes out at -0.763 eV per atom.

Structure (POSCAR):
```
Tm3RhAu
1.0
-2.6872 -5.5429 5.1845
5.0032 -4.5862 -2.3096
4.6238 1.4381 7.1603
Rh Au Tm
4 4 12
Cartesian
3.4260 -7.7763 7.5313
1.5586 -3.1255 5.3785
3.5137 -0.9147 2.5040
5.3811 -5.5656 4.6568
0.9406 -6.8285 3.4819
4.3419 -5.9432 -0.0602
5.9991 -1.8626 6.5534
2.5978 -2.7478 10.0954
3.2144 -1.8058 7.2834
1.5442 -0.5420 4.3647
1.0195 -3.8654 2.8096
5.3955 -8.1491 5.6705
2.9042 -5.5248 9.3987
5.9202 -4.8257 7.2256
4.2629 -3.1078 4.2213
7.9430 -2.6766 4.3198
2.6768 -5.5832 5.8139
3.7253 -6.8853 2.7518
4.0355 -3.1662 0.6365
-1.0033 -6.0144 5.7154
```


# 4
Compound: Li2AgOs
Source: Alexandria via LeMat-Bulk
Functional: PBE
Structure: optimized geometry

Output
As for the space group: I4/mmm (139). The energy relative to the elements comes out at 0.565 eV per atom.

Structure (POSCAR):
```
Li2AgOs
1.0
4.8896 -0.0099 0.0000
1.9051 4.5032 0.0000
-3.3973 -2.2466 2.7053
Li Ag Os
2 1 1
Cartesian
0.0000 0.0000 0.0000
3.3973 2.2466 0.0000
2.4448 -0.0050 1.3527
0.9526 2.2516 1.3527
```


# 5
Compound: ScTl2O
Source: Alexandria via LeMat-Bulk
Functional: PBE
Structure: optimized geometry

Output
The value obtained for the formation energy (no corrections) is -0.93 eV/atom. As for the space group: I-42d (122).

Structure (POSCAR):
```
ScTl2O
1.0
10.4731 0.0000 0.0000
0.0000 10.4731 0.0000
5.2366 5.2366 1.9545
O Sc Tl
2 2 4
Cartesian
5.2366 10.4731 0.9772
5.2366 5.2366 0.0000
10.4731 5.2366 0.9772
0.0000 0.0000 0.0000
3.9781 7.8548 0.4886
7.8548 9.2146 1.4659
13.0914 11.7316 1.4659
6.4951 2.6183 0.4886
```


# 6
Compound: RbHgPbCl6
Source: Alexandria via LeMat-Bulk
Functional: PBE
Structure: optimized geometry

Output
The value obtained for the formation energy (no corrections) is -0.99 eV/atom. As for the space group: P-31c (163).

Structure (POSCAR):
```
RbHgPbCl6
1.0
7.1218 0.0000 0.0000
-3.5609 6.1677 0.0000
0.0000 0.0000 14.3968
Cl Pb Hg Rb
12 2 2 2
Cartesian
4.8840 3.8375 12.3728
2.6795 0.0192 9.2223
5.7654 2.3109 9.2223
-0.8814 6.1484 2.0240
2.2045 3.8567 2.0240
4.4423 0.0192 12.3728
1.3231 2.3302 5.1744
2.2378 3.8375 9.2223
-1.3231 2.3302 2.0240
1.3564 2.3109 12.3728
0.8814 6.1484 5.1744
-2.2045 3.8567 5.1744
0.0000 4.1118 10.7976
3.5609 2.0559 3.5992
3.5609 2.0559 10.7976
0.0000 4.1118 3.5992
0.0000 0.0000 0.0000
0.0000 0.0000 7.1984
```


Please write out number 3 again, unchanged.
Compound: Tm3RhAu
Source: Alexandria via LeMat-Bulk
Functional: PBE
Structure: optimized geometry

Output
As for the space group: P2_1/c (14). The energy relative to the elements comes out at -0.763 eV per atom.

Structure (POSCAR):
```
Tm3RhAu
1.0
-2.6872 -5.5429 5.1845
5.0032 -4.5862 -2.3096
4.6238 1.4381 7.1603
Rh Au Tm
4 4 12
Cartesian
3.4260 -7.7763 7.5313
1.5586 -3.1255 5.3785
3.5137 -0.9147 2.5040
5.3811 -5.5656 4.6568
0.9406 -6.8285 3.4819
4.3419 -5.9432 -0.0602
5.9991 -1.8626 6.5534
2.5978 -2.7478 10.0954
3.2144 -1.8058 7.2834
1.5442 -0.5420 4.3647
1.0195 -3.8654 2.8096
5.3955 -8.1491 5.6705
2.9042 -5.5248 9.3987
5.9202 -4.8257 7.2256
4.2629 -3.1078 4.2213
7.9430 -2.6766 4.3198
2.6768 -5.5832 5.8139
3.7253 -6.8853 2.7518
4.0355 -3.1662 0.6365
-1.0033 -6.0144 5.7154
```


> What is the formula in the first record?

ZrHgBiIr2